Record 1
Compound: CsK2MgIn
Source: Alexandria via LeMat-Bulk
Functional: PBE-GGA
Structure: relaxed

abc: 7.0205 7.0205 5.6057
angles: 90.00 90.00 90.00
Closest atoms and distances in Å follow each position.
Atoms (fractional coordinates):
Cs: 0.0000 0.0000 0.0000  8 K 4.49, 4 Mg 4.96
K: 0.0000 0.5000 0.5000  2 In 3.51
K: 0.5000 0.0000 0.5000  2 In 3.51
Mg: 0.5000 0.5000 0.0000  2 In 2.80
In: 0.5000 0.5000 0.5000  2 Mg 2.80

Values from the calculation:
energy relative to the elements	80	meV per atom
electronic total energy	-1.397	eV per atom
calculated density	2.10	Mg/m³

***

Record 2
Compound: CaBeB3
Source: Alexandria via LeMat-Bulk
Functional: PBE-GGA
Structure: relaxed

abc: 4.6147 4.6147 4.6147
angles: 90.00 90.00 90.00
Closest atoms and distances in Å follow each position.
Atoms (fractional coordinates):
Ca: 0.0000 0.0000 0.0000  6 B 2.31
Be: 0.5000 0.5000 0.5000  12 B 3.26
B: 0.0000 0.0000 0.5000  2 Ca 2.31
B: 0.0000 0.5000 0.0000  2 Ca 2.31
B: 0.5000 0.0000 0.0000  2 Ca 2.31

Values from the calculation:
energy relative to the elements	3047	meV per atom
relative energy among the computed polymorphs	2020	meV per atom
electronic total energy	-2.105	eV per atom
calculated density	1.38	Mg/m³

***

Record 3
Compound: LaDy4Mg5
Source: Alexandria via LeMat-Bulk
Functional: PBE-GGA
Structure: relaxed

abc: 3.8146 3.8146 19.1935
angles: 90.00 90.00 90.00
Closest atoms and distances in Å follow each position.
Atoms (fractional coordinates):
La: 0.0000 0.0000 0.0000  8 Mg 3.43, 4 La 3.81
Dy: 0.0000 0.0000 0.2074  8 Mg 3.28
Dy: 0.0000 0.0000 0.4025  8 Mg 3.28-3.29
Dy: 0.0000 0.0000 0.5975  8 Mg 3.28-3.29
Dy: 0.0000 0.0000 0.7926  8 Mg 3.28
Mg: 0.5000 0.5000 0.1101  4 Dy 3.28, 4 La 3.43
Mg: 0.5000 0.5000 0.3046  8 Dy 3.28-3.29
Mg: 0.5000 0.5000 0.5000  8 Dy 3.28
Mg: 0.5000 0.5000 0.6954  8 Dy 3.28-3.29
Mg: 0.5000 0.5000 0.8899  4 Dy 3.28, 4 La 3.43

Values from the calculation:
energy relative to the elements	-84	meV per atom
electronic total energy	-3.215	eV per atom
calculated density	5.41	Mg/m³

***

Record 4
Compound: Sm3Al8Pd3
Source: Alexandria via LeMat-Bulk
Functional: PBE-GGA
Structure: relaxed

abc: 8.2689 8.2689 8.2689
angles: 149.31 105.81 82.39
Closest atoms and distances in Å follow each position.
Atoms (fractional coordinates):
Sm: 0.0000 0.0000 0.0000  12 Al 3.20-3.28
Sm: 0.3118 0.3118 0.0000  8 Al 3.16-3.19, 4 Pd 3.16-3.21
Sm: 0.6882 0.6882 0.0000  8 Al 3.16-3.19, 4 Pd 3.16-3.21
Al: 0.0289 0.6640 0.3649  1 Pd 2.54, 4 Al 2.69-2.79
Al: 0.1620 0.8787 0.2832  3 Pd 2.64-2.66, 3 Al 2.69-2.79
Al: 0.2991 0.6640 0.6351  1 Pd 2.54, 4 Al 2.69-2.79
Al: 0.4045 0.1213 0.2832  3 Pd 2.64-2.66, 3 Al 2.69-2.79
Al: 0.5955 0.8787 0.7168  3 Pd 2.64-2.66, 3 Al 2.69-2.79
Al: 0.7009 0.3360 0.3649  1 Pd 2.54, 4 Al 2.69-2.79
Al: 0.8380 0.1213 0.7168  3 Pd 2.64-2.66, 3 Al 2.69-2.79
Al: 0.9711 0.3360 0.6351  1 Pd 2.54, 4 Al 2.69-2.79
Pd: 0.2871 0.5000 0.7871  6 Al 2.54-2.66
Pd: 0.5000 0.0000 0.5000  4 Al 2.64
Pd: 0.7129 0.5000 0.2129  6 Al 2.54-2.66

Values from the calculation:
energy relative to the elements	-686	meV per atom
relative energy among the computed polymorphs	4	meV per atom
electronic total energy	-4.948	eV per atom
calculated density	6.03	Mg/m³

***

Record 5
Compound: DySc2Tl3Se6
Source: Alexandria via LeMat-Bulk
Functional: PBE-GGA
Structure: relaxed

abc: 7.0102 7.0102 8.0882
angles: 98.32 98.32 119.95
Closest atoms and distances in Å follow each position.
Atoms (fractional coordinates):
Dy: 0.0000 0.0000 0.0000  6 Se 2.86-2.87
Sc: 0.3332 0.6668 0.0000  6 Se 2.75-2.76
Sc: 0.6668 0.3332 0.0000  6 Se 2.75-2.76
Tl: 0.1631 0.8369 0.5000  6 Se 3.27-3.34
Tl: 0.5000 0.5000 0.5000  6 Se 3.26-3.33
Tl: 0.8369 0.1631 0.5000  6 Se 3.27-3.34
Se: 0.0662 0.4121 0.1988  2 Sc 2.76, 1 Dy 2.87
Se: 0.2807 0.2807 0.8044  2 Sc 2.75, 1 Dy 2.86
Se: 0.4121 0.0662 0.1988  2 Sc 2.76, 1 Dy 2.87
Se: 0.5879 0.9338 0.8012  2 Sc 2.76, 1 Dy 2.87
Se: 0.7193 0.7193 0.1956  2 Sc 2.75, 1 Dy 2.86
Se: 0.9338 0.5879 0.8012  2 Sc 2.76, 1 Dy 2.87

Values from the calculation:
ΔE_f (raw)	-1.30	eV per atom
electronic total energy	-5.069	eV per atom
calculated density	6.75	Mg/m³

***

Record 6
Compound: LaPm2Cd
Source: Alexandria via LeMat-Bulk
Functional: PBE-GGA
Structure: relaxed

abc: 4.9876 4.9876 5.0123
angles: 90.00 90.00 90.00
Closest atoms and distances in Å follow each position.
Atoms (fractional coordinates):
La: 0.0000 0.0000 0.0000  4 Cd 3.53, 8 Pm 3.54
Pm: 0.0000 0.5000 0.5000  4 Pm 3.53, 4 Cd 3.54, 4 La 3.54
Pm: 0.5000 0.0000 0.5000  4 Pm 3.53, 4 Cd 3.54, 4 La 3.54
Cd: 0.5000 0.5000 0.0000  4 La 3.53, 8 Pm 3.54

Values from the calculation:
energy relative to the elements	-108	meV per atom
relative energy among the computed polymorphs	45	meV per atom
electronic total energy	-3.944	eV per atom
calculated density	7.21	Mg/m³

***

> Look up the calculated density of the third one.

5.41 Mg/m³

***

> calculated density of number 3 (LaDy4Mg5)?

5.41 Mg/m³

***

> What is the calculated density in the sixth record?

7.21 Mg/m³

***

> What is the calculated density in the sixth record?

7.21 Mg/m³